No. 1
# SrYAu

Crystalline SrYAu at its relaxed geometry (PBE-GGA, Alexandria via LeMat-Bulk).

Computed properties:
- final energy (eV/f.u.) = -13.1
- offset from the most stable computed form (kJ/mol of formula units) = 0
- volume (Å³ per cell) = 195.4
- DOS at the Fermi energy (states/eV per cell) = 9.845

Cell and atoms, written as CIF:
```
data_SrYAu
_cell_length_a 5.015
_cell_length_b 5.015
_cell_length_c 7.772
_cell_angle_alpha 90.00
_cell_angle_beta 90.00
_cell_angle_gamma 90.00
_space_group_name_H-M_alt 'P 4/n m m'
_space_group_IT_number 129
loop_
_space_group_symop_operation_xyz
'x,y,z'
'-x,-y,-z'
'-y+1/2,x,z'
'y+1/2,-x,-z'
'-x+1/2,-y+1/2,z'
'x+1/2,y+1/2,-z'
'y,-x+1/2,z'
'-y,x+1/2,-z'
'x+1/2,-y,-z'
'-x+1/2,y,z'
'-y,-x,-z'
'y,x,z'
'-x,y+1/2,-z'
'x,-y+1/2,z'
'y+1/2,x+1/2,-z'
'-y+1/2,-x+1/2,z'
loop_
_atom_site_label
_atom_site_fract_x
_atom_site_fract_y
_atom_site_fract_z
Sr1 0.250 0.250 0.127
Y1 0.250 0.750 0.500
Au1 0.250 0.250 0.704
```


No. 2
# SrYAu4

Crystalline SrYAu4 at its relaxed geometry (PBE-GGA, Alexandria via LeMat-Bulk).

Computed properties:
- final energy (eV/f.u.) = -24.3
- volume (Å³ per cell) = 539.8
- DOS at the Fermi energy (states/eV per cell) = 29.296

Cell and atoms, written as CIF:
```
data_SrYAu4
_cell_length_a 8.142
_cell_length_b 8.142
_cell_length_c 8.142
_cell_angle_alpha 90.00
_cell_angle_beta 90.00
_cell_angle_gamma 90.00
_space_group_name_H-M_alt 'F -4 3 m'
_space_group_IT_number 216
_space_group_name_Hall 'F -4 2 3'
loop_
_atom_site_label
_atom_site_fract_x
_atom_site_fract_y
_atom_site_fract_z
Sr1 0.000 0.000 0.000
Y1 0.250 0.250 0.750
Au1 0.125 0.125 0.375
```


No. 3
# SrY4Au5

Crystalline SrY4Au5 at its relaxed geometry (PBE-GGA, Alexandria via LeMat-Bulk).

Computed properties:
- final energy (eV/f.u.) = -52.3
- volume (Å³ per cell) = 243.7
- DOS at the Fermi energy (states/eV per cell) = 5.282

Cell and atoms, written as CIF:
```
data_SrY4Au5
_cell_length_a 3.627
_cell_length_b 3.627
_cell_length_c 18.520
_cell_angle_alpha 90.00
_cell_angle_beta 90.00
_cell_angle_gamma 90.00
_space_group_name_H-M_alt 'P 4/m m m'
_space_group_IT_number 123
_space_group_name_Hall '-P 4 2'
loop_
_atom_site_label
_atom_site_fract_x
_atom_site_fract_y
_atom_site_fract_z
Sr1 0.000 0.000 0.000
Y1 0.000 0.000 0.206
Y2 0.000 0.000 0.402
Au1 0.500 0.500 0.119
Au2 0.500 0.500 0.305
Au3 0.500 0.500 0.500
```


No. 4
# SrY2Au

Crystalline SrY2Au at its relaxed geometry (PBE-GGA, Alexandria via LeMat-Bulk).

Computed properties:
- final energy (eV/f.u.) = -18.7
- offset from the most stable computed form (kJ/mol of formula units) = 51
- volume (Å³ per cell) = 414.7
- DOS at the Fermi energy (states/eV per cell) = 12.176

Cell and atoms, written as CIF:
```
data_SrY2Au
_cell_length_a 4.8508
_cell_length_b 4.8508
_cell_length_c 20.3495
_cell_angle_alpha 90.00
_cell_angle_beta 90.00
_cell_angle_gamma 120.00
_space_group_name_H-M_alt 'R 3 m'
_space_group_IT_number 160
_space_group_name_Hall 'R 3 -2"'
loop_
_atom_site_label
_atom_site_fract_x
_atom_site_fract_y
_atom_site_fract_z
Sr1 0.0000 0.0000 0.0000
Y1 0.0000 0.0000 0.2145
Y2 0.0000 0.0000 0.4483
Au1 0.0000 0.0000 0.8302
```


No. 5
# SrY2Au2

Crystalline SrY2Au2 at its relaxed geometry (PBE-GGA, Alexandria via LeMat-Bulk).

Computed properties:
- final energy (eV/f.u.) = -24.2
- offset from the most stable computed form (kJ/mol of formula units) = 0
- volume (Å³ per cell) = 275.3
- DOS at the Fermi energy (states/eV per cell) = 11.566

Cell and atoms, written as CIF:
```
data_SrY2Au2
_cell_length_a 8.408
_cell_length_b 8.408
_cell_length_c 3.893
_cell_angle_alpha 90.00
_cell_angle_beta 90.00
_cell_angle_gamma 90.00
_space_group_name_H-M_alt 'P 4/m b m'
_space_group_IT_number 127
_space_group_name_Hall '-P 4 2ab'
loop_
_atom_site_label
_atom_site_fract_x
_atom_site_fract_y
_atom_site_fract_z
Sr1 0.000 0.000 0.000
Y1 0.152 0.348 0.500
Au1 0.135 0.635 0.000
```


No. 6
# SrYAu

Crystalline SrYAu at its relaxed geometry (PBE-GGA, Alexandria via LeMat-Bulk).

Computed properties:
- final energy (eV/f.u.) = -12.9
- offset from the most stable computed form (kJ/mol of formula units) = 11
- volume (Å³ per cell) = 188.8
- DOS at the Fermi energy (states/eV per cell) = 4.623

Cell and atoms, written as CIF:
```
data_SrYAu
_cell_length_a 3.756
_cell_length_b 3.756
_cell_length_c 13.384
_cell_angle_alpha 90.00
_cell_angle_beta 90.00
_cell_angle_gamma 90.00
_space_group_name_H-M_alt 'I 4 m m'
_space_group_IT_number 107
_space_group_name_Hall 'I 4 -2'
loop_
_atom_site_label
_atom_site_fract_x
_atom_site_fract_y
_atom_site_fract_z
Sr1 0.000 0.000 0.000
Y1 0.000 0.000 0.268
Au1 0.000 0.000 0.664
```


No. 7
# SrY2Au

Crystalline SrY2Au at its relaxed geometry (PBE-GGA, Alexandria via LeMat-Bulk).

Computed properties:
- final energy (eV/f.u.) = -19.3
- offset from the most stable computed form (kJ/mol of formula units) = 1
- volume (Å³ per cell) = 127.2
- DOS at the Fermi energy (states/eV per cell) = 4.672

Cell and atoms, written as CIF:
```
data_SrY2Au
_cell_length_a 3.704
_cell_length_b 3.704
_cell_length_c 9.270
_cell_angle_alpha 90.00
_cell_angle_beta 90.00
_cell_angle_gamma 90.00
_space_group_name_H-M_alt 'P 4 m m'
_space_group_IT_number 99
_space_group_name_Hall 'P 4 -2'
loop_
_atom_site_label
_atom_site_fract_x
_atom_site_fract_y
_atom_site_fract_z
Sr1 0.000 0.000 0.000
Y1 0.000 0.000 0.398
Y2 0.500 0.500 0.661
Au1 0.500 0.500 0.232
```


No. 8
# SrY2Au

Crystalline SrY2Au at its relaxed geometry (PBE-GGA, Alexandria via LeMat-Bulk).

Computed properties:
- final energy (eV/f.u.) = -17.9
- offset from the most stable computed form (kJ/mol of formula units) = 128
- volume (Å³ per cell) = 453.1
- DOS at the Fermi energy (states/eV per cell) = 30.073

Cell and atoms, written as CIF:
```
data_SrY2Au
_cell_length_a 7.681
_cell_length_b 7.681
_cell_length_c 7.681
_cell_angle_alpha 90.00
_cell_angle_beta 90.00
_cell_angle_gamma 90.00
_space_group_name_H-M_alt 'F m -3 m'
_space_group_IT_number 225
_space_group_name_Hall '-F 4 2 3'
loop_
_atom_site_label
_atom_site_fract_x
_atom_site_fract_y
_atom_site_fract_z
Sr1 0.000 0.000 0.000
Y1 0.250 0.250 0.250
Au1 0.000 0.000 0.500
```